# 1
# Y2MnP (GGA-PBE, relaxed)
# density of states at the Fermi level = 3.8 states/eV/f.u.
# formation energy = -0.316 eV/atom
# uncorrected energy = -0.5287 Ry/atom
data_Y2MnP
_chemical_formula_sum 'Y2 Mn1 P1'
_cell_length_a 4.0679
_cell_length_b 4.0679
_cell_length_c 5.7414
_cell_angle_alpha 90.00
_cell_angle_beta 90.00
_cell_angle_gamma 90.00
_symmetry_space_group_name_H-M 'P 4 m m'
_symmetry_Int_Tables_number 99
loop_
_symmetry_equiv_pos_as_xyz
'x,y,z'
'-y,x,z'
'-x,-y,z'
'y,-x,z'
'-x,y,z'
'y,x,z'
'x,-y,z'
'-y,-x,z'
loop_
_atom_site_label
_atom_site_type_symbol
_atom_site_fract_x
_atom_site_fract_y
_atom_site_fract_z
Y1 Y 0.0000 0.0000 0.0000
Y2 Y 0.5000 0.5000 0.4879
Mn1 Mn 0.5000 0.5000 0.9871
P1 P 0.0000 0.0000 0.4993

***

# 2
# YMnP (GGA-PBE, relaxed)
# density of states at the Fermi level = 3.4 states/eV/f.u.
# formation energy = 0.233 eV/atom
# uncorrected energy = -0.4984 Ry/atom
data_YMnP
_chemical_formula_sum 'Y4 Mn4 P4'
_cell_length_a 6.5638
_cell_length_b 6.5638
_cell_length_c 6.5638
_cell_angle_alpha 90.00
_cell_angle_beta 90.00
_cell_angle_gamma 90.00
_symmetry_space_group_name_H-M 'F -4 3 m'
_symmetry_Int_Tables_number 216
_symmetry_space_group_name_Hall 'F -4 2 3'
loop_
_atom_site_label
_atom_site_type_symbol
_atom_site_fract_x
_atom_site_fract_y
_atom_site_fract_z
Y1 Y 0.0000 0.0000 0.0000
Mn1 Mn 0.2500 0.2500 0.2500
P1 P 0.2500 0.2500 0.7500

***

# 3
# Y2MnP (GGA-PBE, relaxed)
# density of states at the Fermi level = 5.7 states/eV/f.u.
# formation energy = 0.157 eV/atom
# uncorrected energy = -0.4939 Ry/atom
data_Y2MnP
_chemical_formula_sum 'Y8 Mn4 P4'
_cell_length_a 6.7615
_cell_length_b 6.7615
_cell_length_c 6.7615
_cell_angle_alpha 90.00
_cell_angle_beta 90.00
_cell_angle_gamma 90.00
_symmetry_space_group_name_H-M 'F -4 3 m'
_symmetry_Int_Tables_number 216
_symmetry_space_group_name_Hall 'F -4 2 3'
loop_
_atom_site_label
_atom_site_type_symbol
_atom_site_fract_x
_atom_site_fract_y
_atom_site_fract_z
Y1 Y 0.0000 0.0000 0.0000
Y2 Y 0.2500 0.2500 0.2500
Mn1 Mn 0.0000 0.0000 0.5000
P1 P 0.2500 0.2500 0.7500

***

# 4
# YMn2P2 (GGA-PBE, relaxed)
# density of states at the Fermi level = 3.5 states/eV/f.u.
# formation energy = -0.852 eV/atom
# uncorrected energy = -0.5863 Ry/atom
data_YMn2P2
_chemical_formula_sum 'Y1 Mn2 P2'
_cell_length_a 3.8228
_cell_length_b 3.8228
_cell_length_c 6.5112
_cell_angle_alpha 90.00
_cell_angle_beta 90.00
_cell_angle_gamma 120.00
_symmetry_space_group_name_H-M 'P -3 m 1'
_symmetry_Int_Tables_number 164
_symmetry_space_group_name_Hall '-P 3 2"'
loop_
_atom_site_label
_atom_site_type_symbol
_atom_site_fract_x
_atom_site_fract_y
_atom_site_fract_z
Y1 Y 0.0000 0.0000 0.0000
Mn1 Mn 0.3333 0.6667 0.6242
P1 P 0.3333 0.6667 0.2748

***

# 5
# Y2MnP (GGA-PBE, relaxed)
# density of states at the Fermi level = 3.2 states/eV/f.u.
# formation energy = -0.279 eV/atom
# uncorrected energy = -0.5260 Ry/atom
data_Y2MnP
_chemical_formula_sum 'Y2 Mn1 P1'
_cell_length_a 3.2699
_cell_length_b 3.2699
_cell_length_c 7.9139
_cell_angle_alpha 90.00
_cell_angle_beta 90.00
_cell_angle_gamma 90.00
_symmetry_space_group_name_H-M 'P 4 m m'
_symmetry_Int_Tables_number 99
loop_
_symmetry_equiv_pos_as_xyz
'x,y,z'
'-y,x,z'
'-x,-y,z'
'y,-x,z'
'-x,y,z'
'y,x,z'
'x,-y,z'
'-y,-x,z'
loop_
_atom_site_label
_atom_site_type_symbol
_atom_site_fract_x
_atom_site_fract_y
_atom_site_fract_z
Y1 Y 0.0000 0.0000 0.0000
Y2 Y 0.5000 0.5000 0.3858
Mn1 Mn 0.0000 0.0000 0.6444
P1 P 0.5000 0.5000 0.7548

***

# 6
# YMn6P6 (GGA-PBE, relaxed)
# density of states at the Fermi level = 8.6 states/eV/f.u.
# formation energy = -0.480 eV/atom
# uncorrected energy = -0.5664 Ry/atom
data_YMn6P6
_chemical_formula_sum 'Y1 Mn6 P6'
_cell_length_a 5.0561
_cell_length_b 5.0561
_cell_length_c 7.4567
_cell_angle_alpha 90.00
_cell_angle_beta 90.00
_cell_angle_gamma 120.00
_symmetry_space_group_name_H-M 'P 6/m m m'
_symmetry_Int_Tables_number 191
_symmetry_space_group_name_Hall '-P 6 2'
loop_
_atom_site_label
_atom_site_type_symbol
_atom_site_fract_x
_atom_site_fract_y
_atom_site_fract_z
Y1 Y 0.0000 0.0000 0.0000
Mn1 Mn 0.0000 0.5000 0.2599
P1 P 0.0000 0.0000 0.3462
P2 P 0.3333 0.6667 0.0000
P3 P 0.3333 0.6667 0.5000

***

# 7
# YMnP (GGA-PBE, relaxed)
# density of states at the Fermi level = 2.4 states/eV/f.u.
# formation energy = -0.514 eV/atom
# uncorrected energy = -0.5533 Ry/atom
data_YMnP
_chemical_formula_sum 'Y4 Mn4 P4'
_cell_length_a 6.2015
_cell_length_b 6.2015
_cell_length_c 6.2015
_cell_angle_alpha 90.00
_cell_angle_beta 90.00
_cell_angle_gamma 90.00
_symmetry_space_group_name_H-M 'F -4 3 m'
_symmetry_Int_Tables_number 216
_symmetry_space_group_name_Hall 'F -4 2 3'
loop_
_atom_site_label
_atom_site_type_symbol
_atom_site_fract_x
_atom_site_fract_y
_atom_site_fract_z
Y1 Y 0.0000 0.0000 0.0000
Mn1 Mn 0.0000 0.0000 0.5000
P1 P 0.2500 0.2500 0.7500

***

# 8
# YMnP3 (GGA-PBE, relaxed)
# density of states at the Fermi level = 4.5 states/eV/f.u.
# formation energy = 0.884 eV/atom
# uncorrected energy = -0.4034 Ry/atom
data_YMnP3
_chemical_formula_sum 'Y1 Mn1 P3'
_cell_length_a 5.1967
_cell_length_b 5.1967
_cell_length_c 5.1967
_cell_angle_alpha 90.00
_cell_angle_beta 90.00
_cell_angle_gamma 90.00
_symmetry_space_group_name_H-M 'P m -3 m'
_symmetry_Int_Tables_number 221
_symmetry_space_group_name_Hall '-P 4 2 3'
loop_
_atom_site_label
_atom_site_type_symbol
_atom_site_fract_x
_atom_site_fract_y
_atom_site_fract_z
Y1 Y 0.0000 0.0000 0.0000
Mn1 Mn 0.5000 0.5000 0.5000
P1 P 0.0000 0.0000 0.5000

***

- formation energy of number 2 (YMnP)?
  0.233 eV/atom

***

- Which of these has the highest density of states at the Fermi level?
  YMn6P6

***

- Which of these has the lowest density of states at the Fermi level?
  number 7